[1]
Entry from Alexandria: a relaxed Dy2Si4Ni3Pd crystal (PBE-GGA). Values from VASP.

Properties
* raw total energy: -6.206 eV/atom
* total magnetic moment: 0.0 μB/f.u.

Quantum ESPRESSO input file:
```
&SYSTEM
  ibrav = 0, nat = 10, ntyp = 4
/
ATOMIC_SPECIES
Dy 162.50 Dy.upf
Si 28.09 Si.upf
Ni 58.69 Ni.upf
Pd 106.42 Pd.upf
ATOMIC_POSITIONS angstrom
Dy 0.000 1.999 7.314
Dy 1.999 0.000 2.338
Si 1.999 0.000 6.185
Si 0.000 0.000 0.000
Si 1.999 1.999 0.000
Si 0.000 1.999 3.467
Ni 0.000 1.999 1.172
Ni 0.000 0.000 4.826
Ni 1.999 0.000 8.481
Pd 1.999 1.999 4.826
CELL_PARAMETERS angstrom
3.998 0.000 0.000
0.000 3.998 0.000
0.000 0.000 9.652
```

[2]
Entry from Alexandria: a relaxed SmGdThIn crystal (PBE-GGA). Values from VASP.

Properties
* raw total energy: -7.282 eV/atom
* total magnetic moment: 7.9 μB/f.u.

Quantum ESPRESSO input file:
```
&SYSTEM
  ibrav = 0, nat = 4, ntyp = 4
/
ATOMIC_SPECIES
Gd 157.25 Gd.upf
Th 232.04 Th.upf
In 114.82 In.upf
Sm 150.36 Sm.upf
ATOMIC_POSITIONS angstrom
Gd 0.000 0.000 0.000
Th 8.271 4.775 3.376
In 2.757 1.592 1.125
Sm 5.514 3.183 2.251
CELL_PARAMETERS angstrom
5.514 0.000 0.000
2.757 4.775 0.000
2.757 1.592 4.502
```

[3]
Entry from Alexandria: a relaxed Mg4GePd2 crystal (PBE-GGA). Values from VASP.

Properties
* raw total energy: -3.061 eV/atom
* total magnetic moment: 0.0 μB/f.u.

Quantum ESPRESSO input file:
```
&SYSTEM
  ibrav = 0, nat = 7, ntyp = 3
/
ATOMIC_SPECIES
Ge 72.64 Ge.upf
Mg 24.30 Mg.upf
Pd 106.42 Pd.upf
ATOMIC_POSITIONS angstrom
Ge 0.000 0.000 0.000
Mg 2.481 2.481 3.939
Mg 4.962 4.962 2.626
Mg 2.481 0.000 0.000
Mg 0.000 2.481 0.000
Pd 4.962 4.962 5.189
Pd 2.481 2.481 1.376
CELL_PARAMETERS angstrom
4.962 0.000 0.000
0.000 4.962 0.000
2.481 2.481 6.565
```

[4]
Entry from Alexandria: a relaxed CaSc2SnC crystal (PBE-GGA). Values from VASP.

Properties
* raw total energy: -6.153 eV/atom
* total magnetic moment: 0.0 μB/f.u.

Quantum ESPRESSO input file:
```
&SYSTEM
  ibrav = 0, nat = 5, ntyp = 4
/
ATOMIC_SPECIES
Sc 44.96 Sc.upf
C 12.01 C.upf
Ca 40.08 Ca.upf
Sn 118.71 Sn.upf
ATOMIC_POSITIONS angstrom
Sc -0.874 1.027 -1.856
Sc -0.928 -1.990 -0.664
C 0.000 0.000 0.000
Ca -2.030 0.529 1.248
Sn -3.831 -0.434 -1.273
CELL_PARAMETERS angstrom
-1.747 2.054 -3.713
-1.856 -3.981 -1.329
-4.059 1.059 2.496
```

[5]
Entry from Alexandria: a relaxed CaCoI crystal (PBE-GGA). Values from VASP.

Properties
* raw total energy: -3.760 eV/atom
* total magnetic moment: 1.0 μB/f.u.

Quantum ESPRESSO input file:
```
&SYSTEM
  ibrav = 0, nat = 6, ntyp = 3
/
ATOMIC_SPECIES
I 126.90 I.upf
Co 58.93 Co.upf
Ca 40.08 Ca.upf
ATOMIC_POSITIONS angstrom
I 1.290 -3.441 -5.280
I 1.926 -6.414 -2.163
Co 4.182 -3.574 0.559
Co 2.757 -3.329 2.215
Ca 2.830 -6.144 1.254
Ca 1.384 -3.393 -0.435
CELL_PARAMETERS angstrom
-0.646 -5.358 0.257
1.311 -2.822 -5.886
3.960 -0.909 3.560
```

[6]
Entry from Alexandria: a relaxed CrCo2Ni5 crystal (PBE-GGA). Values from VASP.

Properties
* raw total energy: -6.561 eV/atom
* total magnetic moment: 2.6 μB/f.u.

Quantum ESPRESSO input file:
```
&SYSTEM
  ibrav = 0, nat = 16, ntyp = 3
/
ATOMIC_SPECIES
Co 58.93 Co.upf
Cr 52.00 Cr.upf
Ni 58.69 Ni.upf
ATOMIC_POSITIONS angstrom
Co 1.744 1.277 1.239
Co 1.744 3.781 3.765
Co 1.744 3.730 8.770
Co 1.744 1.226 6.244
Cr 0.000 2.504 0.000
Cr 0.000 0.000 5.005
Ni 0.000 2.504 5.005
Ni 1.744 3.778 1.251
Ni 0.000 4.983 7.487
Ni 1.744 3.733 6.256
Ni 0.000 0.024 2.523
Ni 1.744 1.274 3.753
Ni 0.000 2.479 7.528
Ni 0.000 2.528 2.482
Ni 1.744 1.229 8.758
Ni 0.000 0.000 0.000
CELL_PARAMETERS angstrom
3.488 0.000 0.000
0.000 5.007 0.000
0.000 0.000 10.010
```

[7]
Entry from Alexandria: a relaxed LiTb3Te3 crystal (PBE-GGA). Values from VASP.

Properties
* raw total energy: -4.708 eV/atom
* total magnetic moment: 0.0 μB/f.u.

Quantum ESPRESSO input file:
```
&SYSTEM
  ibrav = 0, nat = 28, ntyp = 3
/
ATOMIC_SPECIES
Tb 158.93 Tb.upf
Li 6.94 Li.upf
Te 127.60 Te.upf
ATOMIC_POSITIONS angstrom
Tb 1.094 3.430 3.161
Tb 3.283 8.862 10.767
Tb 1.094 0.631 5.406
Tb 1.094 10.580 13.834
Tb 1.094 9.576 3.803
Tb 3.283 11.661 8.522
Tb 3.283 1.712 0.094
Tb 3.283 2.716 10.125
Tb 1.094 6.777 1.558
Tb 3.283 5.515 12.370
Tb 3.283 7.858 6.870
Tb 1.094 4.434 7.058
Li 3.283 5.444 4.304
Li 1.094 0.702 11.268
Li 1.094 6.848 9.625
Li 3.283 11.590 2.660
Te 1.094 7.714 12.596
Te 3.283 10.724 5.632
Te 3.283 5.580 9.074
Te 1.094 6.712 4.855
Te 3.283 4.578 1.332
Te 1.094 0.566 2.110
Te 1.094 9.393 8.634
Te 3.283 2.899 5.294
Te 3.283 9.045 1.670
Te 1.094 3.247 12.258
Te 1.094 1.568 8.296
Te 3.283 11.726 11.819
CELL_PARAMETERS angstrom
4.378 0.000 0.000
0.000 12.292 0.000
0.000 0.000 13.928
```

[8]
Entry from Alexandria: a relaxed ThSiBPt6 crystal (PBE-GGA). Values from VASP.

Properties
* raw total energy: -6.827 eV/atom
* total magnetic moment: 0.0 μB/f.u.

Quantum ESPRESSO input file:
```
&SYSTEM
  ibrav = 0, nat = 18, ntyp = 4
/
ATOMIC_SPECIES
Pt 195.08 Pt.upf
Th 232.04 Th.upf
Si 28.09 Si.upf
B 10.81 B.upf
ATOMIC_POSITIONS angstrom
Pt 3.347 -2.225 3.944
Pt -2.335 -4.858 4.798
Pt 0.591 -2.223 5.665
Pt -0.120 -5.927 0.574
Pt -2.013 -4.001 1.105
Pt 2.806 -3.292 1.441
Pt 0.913 -1.365 1.972
Pt 3.128 -2.434 -2.252
Pt -0.640 -3.187 3.374
Pt 1.433 -4.106 -0.828
Pt -2.553 -5.067 -1.399
Pt 0.202 -5.070 -3.119
Th -0.703 -1.846 -0.490
Th 1.497 -5.447 3.035
Si -2.987 -3.294 3.144
Si -0.343 -0.912 3.928
B 3.041 -1.265 2.056
B 3.383 -0.353 -1.871
CELL_PARAMETERS angstrom
-0.685 -1.824 7.855
-5.288 -4.764 -1.567
6.767 -0.706 -3.743
```

[9]
Entry from Alexandria: a relaxed Li3ScPa2Se6 crystal (PBE-GGA). Values from VASP.

Properties
* raw total energy: -5.700 eV/atom
* total magnetic moment: 3.7 μB/f.u.

Quantum ESPRESSO input file:
```
&SYSTEM
  ibrav = 0, nat = 12, ntyp = 4
/
ATOMIC_SPECIES
Pa 231.04 Pa.upf
Li 6.94 Li.upf
Se 78.96 Se.upf
Sc 44.96 Sc.upf
ATOMIC_POSITIONS angstrom
Pa -0.022 3.963 -0.001
Pa 3.443 1.961 -0.001
Li 4.583 -0.016 3.311
Li 1.139 1.973 3.311
Li -2.305 3.962 3.311
Se 2.199 0.000 1.715
Se -0.040 -0.070 4.943
Se 0.079 3.945 4.908
Se -1.099 1.905 1.715
Se 3.377 2.040 4.908
Se 2.319 4.015 1.680
Sc 0.000 0.000 0.000
CELL_PARAMETERS angstrom
6.857 -0.010 -0.001
-3.436 5.934 -0.001
-1.143 -1.979 6.625
```

[10]
Entry from Alexandria: a relaxed Ac3Sn2Pd9Pb crystal (PBE-GGA). Values from VASP.

Properties
* raw total energy: -5.216 eV/atom
* total magnetic moment: 0.0 μB/f.u.

Quantum ESPRESSO input file:
```
&SYSTEM
  ibrav = 0, nat = 15, ntyp = 4
/
ATOMIC_SPECIES
Pd 106.42 Pd.upf
Sn 118.71 Sn.upf
Ac 227.00 Ac.upf
Pb 207.20 Pb.upf
ATOMIC_POSITIONS angstrom
Pd 1.058 -4.108 -4.441
Pd 0.906 -0.876 -3.174
Pd -0.029 -3.058 -0.637
Pd -2.138 0.562 -2.603
Pd 3.620 -4.782 -1.321
Pd -5.762 -5.867 -3.701
Pd -2.113 -7.591 -4.385
Pd 3.045 -1.438 -0.571
Pd -3.199 -6.541 -0.580
Sn 1.910 -3.173 -2.254
Sn -4.051 -7.476 -2.768
Ac 0.000 0.000 0.000
Ac -1.841 -2.503 -3.510
Ac -0.301 -8.146 -1.512
Pb -1.977 -4.448 0.664
CELL_PARAMETERS angstrom
-4.277 1.124 -5.207
6.089 -2.877 -1.142
-3.954 -8.896 1.327
```

Question: Which value of raw total energy does entry 6 give?
Answer: -6.561 eV/atom

Question: Which formula does entry 5 have?
Answer: CaCoI

Question: Look up the raw total energy of the ninth one.
Answer: -5.700 eV/atom